1.
VASP calculation (GGA-PBE) on a geometry-optimized Sm3Hg2N structure.

Cell lengths 8.299, 8.299, 3.586 Å; angles 90.22, 90.22, 34.99 degrees
Atoms (fractional coordinates):
Sm (0.000, 0.000, 0.000)
Sm (0.389, 0.389, 0.499)
Sm (0.611, 0.611, 0.501)
Hg (0.197, 0.197, 0.999)
Hg (0.803, 0.803, 0.001)
N (0.500, 0.500, 0.000)

M_tot: 0.000 μB/atom
D(E_F): 4.345 states/eV/f.u.
E_tot: -0.16942 hartree per atom

---

2.
VASP calculation (GGA-PBE) on a geometry-optimized Zr17Re12 structure.

Cell lengths 8.987, 8.987, 8.987 Å; angles 109.47, 109.47, 109.47 degrees
Atoms (fractional coordinates):
Zr (0.000, 0.000, 0.000)
Zr (0.000, 0.000, 0.368)
Zr (0.000, 0.324, 0.608)
Zr (0.000, 0.368, 0.000)
Zr (0.000, 0.608, 0.324)
Zr (0.283, 0.676, 0.676)
Zr (0.324, 0.000, 0.608)
Zr (0.324, 0.608, 0.000)
Zr (0.368, 0.000, 0.000)
Zr (0.392, 0.392, 0.717)
Zr (0.392, 0.717, 0.392)
Zr (0.608, 0.000, 0.324)
Zr (0.608, 0.324, 0.000)
Zr (0.632, 0.632, 0.632)
Zr (0.676, 0.283, 0.676)
Zr (0.676, 0.676, 0.283)
Zr (0.717, 0.392, 0.392)
Re (0.000, 0.643, 0.820)
Re (0.000, 0.820, 0.643)
Re (0.177, 0.357, 0.357)
Re (0.180, 0.180, 0.823)
Re (0.180, 0.823, 0.180)
Re (0.357, 0.177, 0.357)
Re (0.357, 0.357, 0.177)
Re (0.643, 0.000, 0.820)
Re (0.643, 0.820, 0.000)
Re (0.820, 0.000, 0.643)
Re (0.820, 0.643, 0.000)
Re (0.823, 0.180, 0.180)

M_tot: 0.000 μB/atom
D(E_F): 24.011 states/eV/f.u.
E_tot: -0.38082 hartree per atom
calculated formation energy: -0.20 eV/atom